# PmY7Th2 | Alexandria via LeMat-Bulk | PBE | relaxed
# - V: 32.5 A^3/atom
# - Density of states at the Fermi level: 15.40 states/eV/f.u.
# - Magnetization: 0.00 μB per formula unit
# - Uncorrected energy: -6.45 eV/atom
# - Energy of formation from the pure elements: 0.03 eV per atom
data_PmY7Th2
_chemical_formula_sum 'Pm1 Y7 Th2'
_symmetry_space_group_name_H-M 'P -1'
_symmetry_Int_Tables_number 2
_symmetry_space_group_name_Hall '-P 1'
_cell_length_a 6.191
_cell_length_b 6.201
_cell_length_c 9.493
_cell_angle_alpha 102.58
_cell_angle_beta 109.01
_cell_angle_gamma 99.57
loop_
_atom_site_label
_atom_site_fract_x
_atom_site_fract_y
_atom_site_fract_z
Pm1 0.000 0.000 0.000
Y1 0.000 0.500 0.500
Y2 0.202 0.500 0.900
Y3 0.208 0.003 0.401
Y4 0.403 0.998 0.798
Th1 0.400 0.498 0.304